Version a
Computed, not measured: a geometry-optimized SrIn8Ir2 structure at the PBE level of DFT.

Cell lengths 4.445, 14.109, 16.392 Å; angles 90.00, 90.00, 90.00 degrees
Sites, in units of the cell vectors:
In 0.500 0.330 0.488
In 0.500 0.980 0.866
In 0.500 0.020 0.134
In 0.500 0.551 0.816
In 0.500 0.449 0.184
In 0.500 0.500 0.000
In 0.500 0.333 0.878
In 0.500 0.949 0.316
In 0.500 0.740 0.323
In 0.500 0.667 0.122
In 0.500 0.480 0.634
In 0.500 0.167 0.378
In 0.000 0.101 0.253
In 0.500 0.520 0.366
In 0.500 0.051 0.684
In 0.000 0.399 0.753
In 0.500 0.170 0.988
In 0.000 0.601 0.247
In 0.500 0.833 0.622
In 0.500 0.000 0.500
In 0.500 0.260 0.677
In 0.000 0.500 0.500
In 0.000 0.340 0.044
In 0.500 0.240 0.177
In 0.000 0.160 0.544
In 0.500 0.760 0.823
In 0.000 0.660 0.956
In 0.000 0.899 0.747
In 0.500 0.670 0.512
In 0.500 0.830 0.012
In 0.000 0.840 0.456
In 0.000 0.000 0.000
Ir 0.000 0.034 0.404
Ir 0.000 0.846 0.904
Ir 0.000 0.154 0.096
Ir 0.000 0.654 0.404
Ir 0.000 0.466 0.904
Ir 0.000 0.534 0.096
Ir 0.000 0.966 0.596
Ir 0.000 0.346 0.596
Sr 0.000 0.843 0.180
Sr 0.000 0.157 0.820
Sr 0.000 0.343 0.320
Sr 0.000 0.657 0.680

Summary:
Volume   1028 Å³ per cell
Total moment   0.00 Bohr magnetons per cell
D(E_F)   12.7 states/eV per cell

Version b
Computed, not measured: a geometry-optimized SrIn8Ir2 structure at the PBE level of DFT.

Cell lengths 6.394, 6.394, 8.597 Å; angles 90.00, 90.00, 90.00 degrees
Sites, in units of the cell vectors:
In 0.247 0.753 0.188
In 0.247 0.247 0.812
In 0.753 0.753 0.812
In 0.753 0.247 0.188
In 0.247 0.247 0.188
In 0.753 0.247 0.812
In 0.753 0.753 0.188
In 0.247 0.753 0.812
Ir 0.500 0.000 0.000
Ir 0.000 0.500 0.000
Sr 0.500 0.500 0.500

Summary:
Volume   351 Å³ per cell
Total moment   0.00 Bohr magnetons per cell
D(E_F)   9.5 states/eV per cell

Result of the stability comparison: version b is the least stable of them.

Version a
Computed, not measured: a geometry-optimized Sr2TlInIr structure at the PBE level of DFT.

Cell lengths 5.798, 5.264, 5.798 Å; angles 90.00, 90.00, 90.00 degrees
Sites, in units of the cell vectors:
Tl 0.000 0.500 0.000
In 0.500 0.500 0.500
Sr 0.000 0.000 0.500
Sr 0.500 0.000 0.000
Ir 0.000 0.000 0.000

Summary:
Volume   177 Å³ per cell
Total moment   0.00 Bohr magnetons per cell
D(E_F)   4.7 states/eV per cell

Version b
Computed, not measured: a geometry-optimized Sr2TlInIr structure at the PBE level of DFT.

Cell lengths 5.817, 5.817, 5.180 Å; angles 90.00, 90.00, 90.00 degrees
Sites, in units of the cell vectors:
In 0.000 0.000 0.500
Tl 0.500 0.500 0.500
Sr 0.500 0.000 0.000
Sr 0.000 0.500 0.000
Ir 0.000 0.000 0.000

Summary:
Volume   175 Å³ per cell
Total moment   0.00 Bohr magnetons per cell
D(E_F)   3.5 states/eV per cell

Result of the stability comparison: version a is the least stable of them.

Version a
Computed, not measured: a geometry-optimized SrTlIn2Ir structure at the PBE level of DFT.

Cell lengths 5.210, 5.314, 5.210 Å; angles 90.00, 90.00, 90.00 degrees
Sites, in units of the cell vectors:
Tl 0.000 0.500 0.000
Sr 0.500 0.500 0.500
In 0.000 0.000 0.500
In 0.500 0.000 0.000
Ir 0.000 0.000 0.000

Summary:
Volume   144 Å³ per cell
Total moment   0.00 Bohr magnetons per cell
D(E_F)   3.9 states/eV per cell

Version b
Computed, not measured: a geometry-optimized SrTlIn2Ir structure at the PBE level of DFT.

Cell lengths 5.211, 5.211, 5.775 Å; angles 90.00, 90.00, 90.00 degrees
Sites, in units of the cell vectors:
In 0.000 0.500 0.000
In 0.500 0.000 0.000
Sr 0.000 0.000 0.500
Ir 0.000 0.000 0.000
Tl 0.500 0.500 0.500

Summary:
Volume   157 Å³ per cell
Total moment   0.00 Bohr magnetons per cell
D(E_F)   3.2 states/eV per cell

Result of the stability comparison: version a is the least stable of them.

Version a
Computed, not measured: a geometry-optimized TaInIr3 structure at the PBE level of DFT.

Cell lengths 4.734, 4.734, 4.734 Å; angles 90.00, 90.00, 90.00 degrees
Sites, in units of the cell vectors:
In 0.000 0.000 0.000
Ir 0.500 0.000 0.000
Ir 0.000 0.500 0.000
Ir 0.000 0.000 0.500
Ta 0.500 0.500 0.500

Summary:
Volume   106 Å³ per cell
Total moment   0.00 Bohr magnetons per cell
D(E_F)   21.0 states/eV per cell

Version b
Computed, not measured: a geometry-optimized TaInIr3 structure at the PBE level of DFT.

Cell lengths 4.808, 4.808, 4.808 Å; angles 90.00, 90.00, 90.00 degrees
Sites, in units of the cell vectors:
In 0.500 0.500 0.500
Ir 0.500 0.000 0.000
Ir 0.000 0.000 0.500
Ir 0.000 0.500 0.000
Ta 0.000 0.000 0.000

Summary:
Volume   111 Å³ per cell
Total moment   0.00 Bohr magnetons per cell
D(E_F)   6.6 states/eV per cell

Result of the stability comparison: version a is the least stable of them.

Version a
Computed, not measured: a geometry-optimized TaIn3Ir structure at the PBE level of DFT.

Cell lengths 5.061, 5.061, 5.061 Å; angles 90.00, 90.00, 90.00 degrees
Sites, in units of the cell vectors:
In 0.000 0.500 0.000
In 0.500 0.000 0.000
In 0.000 0.000 0.500
Ir 0.000 0.000 0.000
Ta 0.500 0.500 0.500

Summary:
Volume   130 Å³ per cell
Total moment   0.00 Bohr magnetons per cell
D(E_F)   11.6 states/eV per cell

Version b
Computed, not measured: a geometry-optimized TaIn3Ir structure at the PBE level of DFT.

Cell lengths 5.284, 5.284, 5.284 Å; angles 90.00, 90.00, 90.00 degrees
Sites, in units of the cell vectors:
Ir 0.500 0.500 0.500
Ta 0.000 0.000 0.000
In 0.000 0.500 0.000
In 0.500 0.000 0.000
In 0.000 0.000 0.500

Summary:
Volume   147 Å³ per cell
Total moment   0.98 Bohr magnetons per cell
D(E_F)   5.9 states/eV per cell

Result of the stability comparison: version b is the least stable of them.

Version a
Computed, not measured: a geometry-optimized Tb5In2Ir structure at the PBE level of DFT.

Cell lengths 5.589, 8.629, 12.303 Å; angles 90.00, 90.00, 108.89 degrees
Sites, in units of the cell vectors:
In 0.125 0.251 0.633
In 0.875 0.749 0.367
In 0.875 0.749 0.133
In 0.125 0.251 0.867
Tb 0.698 0.397 0.250
Tb 0.302 0.603 0.750
Tb 0.930 0.860 0.899
Tb 0.294 0.588 0.431
Tb 0.930 0.860 0.601
Tb 0.070 0.140 0.101
Tb 0.706 0.412 0.931
Tb 0.070 0.140 0.399
Tb 0.294 0.588 0.069
Tb 0.706 0.412 0.569
Ir 0.810 0.621 0.750
Ir 0.190 0.379 0.250

Summary:
Volume   561 Å³ per cell
Total moment   0.00 Bohr magnetons per cell
D(E_F)   17.3 states/eV per cell

Version b
Computed, not measured: a geometry-optimized Tb5In2Ir structure at the PBE level of DFT.

Cell lengths 4.806, 7.367, 12.426 Å; angles 90.00, 90.00, 90.00 degrees
Sites, in units of the cell vectors:
Ir 0.000 0.500 0.500
Ir 0.000 0.000 0.000
In 0.500 0.587 0.165
In 0.500 0.087 0.335
In 0.500 0.413 0.835
In 0.500 0.913 0.665
Tb 0.000 0.500 0.000
Tb 0.500 0.179 0.078
Tb 0.500 0.821 0.922
Tb 0.500 0.679 0.422
Tb 0.500 0.321 0.578
Tb 0.000 0.369 0.292
Tb 0.000 0.000 0.500
Tb 0.000 0.131 0.792
Tb 0.000 0.631 0.708
Tb 0.000 0.869 0.208

Summary:
Volume   440 Å³ per cell
Total moment   0.00 Bohr magnetons per cell
D(E_F)   12.7 states/eV per cell

Result of the stability comparison: version a is the least stable of them.

Version a
Computed, not measured: a geometry-optimized Tb2InIr structure at the PBE level of DFT.

Cell lengths 3.934, 3.934, 8.471 Å; angles 76.57, 76.57, 60.00 degrees
Sites, in units of the cell vectors:
Tb 0.732 0.732 0.803
Tb 0.268 0.268 0.197
In 0.500 0.500 0.500
Ir 0.000 0.000 0.000

Summary:
Volume   109 Å³ per cell
Total moment   0.00 Bohr magnetons per cell
D(E_F)   2.3 states/eV per cell

Version b
Computed, not measured: a geometry-optimized Tb2InIr structure at the PBE level of DFT.

Cell lengths 3.543, 3.543, 7.561 Å; angles 90.00, 90.00, 90.00 degrees
Sites, in units of the cell vectors:
Tb 0.000 0.000 0.784
Tb 0.000 0.000 0.216
Ir 0.500 0.500 0.000
In 0.500 0.500 0.500

Summary:
Volume   95 Å³ per cell
Total moment   0.00 Bohr magnetons per cell
D(E_F)   1.4 states/eV per cell

Version c
Computed, not measured: a geometry-optimized Tb2InIr structure at the PBE level of DFT.

Cell lengths 5.098, 5.098, 5.098 Å; angles 60.00, 60.00, 60.00 degrees
Sites, in units of the cell vectors:
Ir 0.500 0.500 0.500
Tb 0.750 0.750 0.750
Tb 0.250 0.250 0.250
In 0.000 0.000 0.000

Summary:
Volume   94 Å³ per cell
Total moment   0.00 Bohr magnetons per cell
D(E_F)   2.9 states/eV per cell

Result of the stability comparison: version a is the least stable of them.

Version a
Computed, not measured: a geometry-optimized Tb6In2Ir structure at the PBE level of DFT.

Cell lengths 3.855, 8.711, 8.666 Å; angles 120.17, 90.00, 90.00 degrees
Sites, in units of the cell vectors:
Ir 0.500 0.007 0.000
Tb 0.000 0.246 0.000
Tb 0.000 0.997 0.239
Tb 0.500 0.605 0.000
Tb 0.000 0.758 0.761
Tb 0.500 0.389 0.390
Tb 0.500 0.999 0.610
In 0.000 0.667 0.335
In 0.000 0.332 0.665

Summary:
Volume   252 Å³ per cell
Total moment   0.00 Bohr magnetons per cell
D(E_F)   10.9 states/eV per cell

Version b
Computed, not measured: a geometry-optimized Tb6In2Ir structure at the PBE level of DFT.

Cell lengths 5.109, 7.282, 8.706 Å; angles 114.72, 107.07, 90.00 degrees
Sites, in units of the cell vectors:
Tb 0.846 0.607 0.691
Tb 0.154 0.916 0.309
Tb 0.154 0.393 0.309
Tb 0.500 0.225 0.000
Tb 0.500 0.775 0.000
Tb 0.846 0.084 0.691
In 0.667 0.667 0.334
In 0.333 0.333 0.666
Ir 0.000 0.000 0.000

Summary:
Volume   278 Å³ per cell
Total moment   0.00 Bohr magnetons per cell
D(E_F)   8.5 states/eV per cell

Result of the stability comparison: version b is the least stable of them.

Version a
Computed, not measured: a geometry-optimized InTc2Ir2 structure at the PBE level of DFT.

Cell lengths 7.698, 7.698, 2.781 Å; angles 90.00, 90.00, 90.00 degrees
Sites, in units of the cell vectors:
Tc 0.622 0.122 0.000
Tc 0.122 0.378 0.000
Tc 0.378 0.878 0.000
Tc 0.878 0.622 0.000
Ir 0.667 0.833 0.500
Ir 0.833 0.333 0.500
Ir 0.333 0.167 0.500
Ir 0.167 0.667 0.500
In 0.500 0.500 0.000
In 0.000 0.000 0.000

Summary:
Volume   165 Å³ per cell
Total moment   0.00 Bohr magnetons per cell
D(E_F)   7.9 states/eV per cell

Version b
Computed, not measured: a geometry-optimized InTc2Ir2 structure at the PBE level of DFT.

Cell lengths 7.654, 7.654, 2.792 Å; angles 90.00, 90.00, 90.00 degrees
Sites, in units of the cell vectors:
Tc 0.172 0.672 0.500
Tc 0.328 0.172 0.500
Tc 0.828 0.328 0.500
Tc 0.672 0.828 0.500
Ir 0.623 0.123 0.000
Ir 0.877 0.623 0.000
Ir 0.123 0.377 0.000
Ir 0.377 0.877 0.000
In 0.000 0.000 0.000
In 0.500 0.500 0.000

Summary:
Volume   164 Å³ per cell
Total moment   0.00 Bohr magnetons per cell
D(E_F)   16.7 states/eV per cell

Result of the stability comparison: version a is the least stable of them.

Version a
Computed, not measured: a geometry-optimized InTeIr2 structure at the PBE level of DFT.

Cell lengths 4.688, 4.688, 4.688 Å; angles 60.00, 60.00, 60.00 degrees
Sites, in units of the cell vectors:
Te 0.500 0.500 0.500
In 0.000 0.000 0.000
Ir 0.250 0.250 0.250
Ir 0.750 0.750 0.750

Summary:
Volume   73 Å³ per cell
Total moment   0.00 Bohr magnetons per cell
D(E_F)   3.2 states/eV per cell

Version b
Computed, not measured: a geometry-optimized InTeIr2 structure at the PBE level of DFT.

Cell lengths 10.135, 10.135, 10.135 Å; angles 17.47, 17.47, 17.47 degrees
Sites, in units of the cell vectors:
Ir 0.745 0.745 0.745
Ir 0.007 0.007 0.007
Te 0.480 0.480 0.480
In 0.267 0.267 0.267

Summary:
Volume   82 Å³ per cell
Total moment   0.00 Bohr magnetons per cell
D(E_F)   6.2 states/eV per cell

Version c
Computed, not measured: a geometry-optimized InTeIr2 structure at the PBE level of DFT.

Cell lengths 3.660, 4.463, 4.463 Å; angles 90.00, 90.00, 90.00 degrees
Sites, in units of the cell vectors:
Ir 0.000 0.000 0.000
Ir 0.000 0.500 0.500
In 0.500 0.000 0.500
Te 0.500 0.500 0.000

Summary:
Volume   73 Å³ per cell
Total moment   0.00 Bohr magnetons per cell
D(E_F)   3.4 states/eV per cell

Result of the stability comparison: version b is the least stable of them.